1.
DFT (PBE) results for a relaxed structure of PaTcH5.

abc: 3.882 4.593 6.492
angles: 90.00 90.00 90.00
Space group Immm (No. 71)
Asymmetric unit:
Pa: 0.000 0.000 0.000 x2
Tc: 0.000 0.000 0.500 x2
H: 0.000 0.287 0.322 x8
H: 0.000 0.500 0.000 x2

Properties
D(E_F) ... 0.25 states/eV/atom
Electronic total energy ... -76.937 eV/cell
Crystal system ... orthorhombic
Total magnetic moment ... 0.0 μB/f.u.


2.
DFT (PBE) results for a relaxed structure of KBaSr.

abc: 4.412 6.333 13.554
angles: 90.00 90.00 90.00
Space group Imm2 (No. 44)
Asymmetric unit:
K: 0.000 0.000 0.000 x2
Ba: 0.000 0.000 0.329 x2
Sr: 0.000 0.000 0.665 x2

Properties
D(E_F) ... 1.30 states/eV/atom
Crystal system ... orthorhombic
Offset from the most stable computed form ... 48 meV/atom
Energy relative to the elements ... 0.11 eV per atom
Total magnetic moment ... 0.0 μB/f.u.


3.
DFT (PBE) results for a relaxed structure of Nd2DyCu6.

abc: 7.3900 7.3900 3.6977
angles: 90.00 90.00 120.00
Space group P6/mmm (No. 191)
Asymmetric unit:
Nd: 0.3333 0.6667 0.0000 x2
Dy: 0.0000 0.0000 0.0000 x1
Cu: 0.0000 0.3308 0.5000 x6

Properties
D(E_F) ... 0.48 states/eV/atom
Crystal system ... hexagonal
Energy relative to the elements ... -0.23 eV per atom
Total magnetic moment ... 0.0 μB/f.u.


4.
DFT (PBE) results for a relaxed structure of Li2GaWN4.

abc: 4.774 4.774 8.885
angles: 90.00 90.00 90.00
Space group I-4 (No. 82)
Asymmetric unit:
Li: 0.000 0.000 0.000 x2
Li: 0.000 0.500 0.250 x2
Ga: 0.000 0.000 0.500 x2
W: 0.000 0.500 0.750 x2
N: 0.209 0.256 0.628 x8

Properties
D(E_F) ... 0.56 states/eV/atom
Crystal system ... tetragonal
Total magnetic moment ... 1.0 μB/f.u.
Formation energy from raw total energies ... -0.350 eV/atom


5.
DFT (PBE) results for a relaxed structure of NdTh2Sc.

abc: 4.968 4.968 5.022
angles: 90.00 90.00 90.00
Space group P4/mmm (No. 123)
Asymmetric unit:
Nd: 0.000 0.000 0.000 x1
Th: 0.000 0.500 0.500 x2
Sc: 0.500 0.500 0.000 x1

Properties
D(E_F) ... 1.58 states/eV/atom
Crystal system ... tetragonal
Offset from the most stable computed form ... 36 meV/atom
Energy relative to the elements ... 0.08 eV per atom
Total magnetic moment ... 0.0 μB/f.u.


6.
DFT (PBE) results for a relaxed structure of Tl2TcMo.

abc: 3.143 4.786 5.162
angles: 90.00 90.00 90.00
Space group Pmmm (No. 47)
Asymmetric unit:
Tl: 0.000 0.000 0.000 x1
Tl: 0.500 0.000 0.500 x1
Tc: 0.000 0.500 0.500 x1
Mo: 0.500 0.500 0.000 x1

Properties
D(E_F) ... 0.71 states/eV/atom
Crystal system ... orthorhombic
Offset from the most stable computed form ... 532 meV/atom
Energy relative to the elements ... 0.90 eV per atom
Total magnetic moment ... 0.1 μB/f.u.


7.
DFT (PBE) results for a relaxed structure of PrNd4Te7.

abc: 14.786 4.374 13.537
angles: 90.00 104.37 90.00
Space group Cm (No. 8)
Asymmetric unit:
Pr: 0.000 0.000 0.000 x2
Nd: 0.116 0.000 0.424 x2
Nd: 0.231 0.000 0.846 x2
Nd: 0.316 0.500 0.236 x2
Nd: 0.415 0.000 0.612 x2
Te: 0.077 0.000 0.640 x2
Te: 0.115 0.500 0.922 x2
Te: 0.155 0.000 0.208 x2
Te: 0.277 0.500 0.472 x2
Te: 0.357 0.500 0.771 x2
Te: 0.372 0.000 0.075 x2
Te: 0.455 0.000 0.375 x2

Properties
D(E_F) ... 0.21 states/eV/atom
Crystal system ... monoclinic
Total magnetic moment ... 0.0 μB/f.u.
Formation energy from raw total energies ... -1.434 eV/atom


8.
DFT (PBE) results for a relaxed structure of TaTcNiTe2.

abc: 4.885 4.885 4.391
angles: 90.00 90.00 90.00
Space group P4/mmm (No. 123)
Asymmetric unit:
Ta: 0.000 0.000 0.000 x1
Tc: 0.500 0.500 0.000 x1
Ni: 0.500 0.500 0.500 x1
Te: 0.000 0.500 0.500 x2

Properties
D(E_F) ... 1.39 states/eV/atom
Crystal system ... tetragonal
Total magnetic moment ... 0.0 μB/f.u.
Formation energy from raw total energies ... 1.108 eV/atom